Entry 1:
First-principles (PBE-GGA) data for a relaxed PbBr crystal, as listed in Alexandria.

CIF file:
```
data_PbBr
_chemical_formula_sum 'Pb4 Br4'
_space_group_name_H-M_alt 'P 1'
_space_group_IT_number 1
_cell_length_a 6.2727
_cell_length_b 6.2727
_cell_length_c 6.2727
_cell_angle_alpha 90.00
_cell_angle_beta 90.00
_cell_angle_gamma 90.00
loop_
_space_group_symop_operation_xyz
'x,y,z'
loop_
_atom_site_label
_atom_site_fract_x
_atom_site_fract_y
_atom_site_fract_z
Pb1 0.0988 0.0988 0.0988
Pb2 0.4012 0.9012 0.5988
Pb3 0.5988 0.4012 0.9012
Pb4 0.9012 0.5988 0.4012
Br1 0.1220 0.6220 0.8780
Br2 0.3780 0.3780 0.3780
Br3 0.6220 0.8780 0.1220
Br4 0.8780 0.1220 0.6220
```

Summary:
Symmetry: P2_13
Calculated density (g cm⁻³): 7.726

***

Entry 2:
First-principles (PBE-GGA) data for a relaxed SrSmTiNbO6 crystal, as listed in Alexandria.

CIF file:
```
data_SrSmTiNbO6
_chemical_formula_sum 'Sr1 Sm1 Ti1 Nb1 O6'
_space_group_name_H-M_alt 'P 1'
_space_group_IT_number 1
_cell_length_a 5.6638
_cell_length_b 5.6638
_cell_length_c 5.6638
_cell_angle_alpha 60.00
_cell_angle_beta 60.00
_cell_angle_gamma 60.00
loop_
_space_group_symop_operation_xyz
'x,y,z'
loop_
_atom_site_label
_atom_site_fract_x
_atom_site_fract_y
_atom_site_fract_z
Sr1 0.0000 0.0000 0.0000
Sm1 0.5000 0.5000 0.5000
Ti1 0.7500 0.7500 0.7500
Nb1 0.2500 0.2500 0.2500
O1 0.5036 0.5036 0.9964
O2 0.5036 0.9964 0.5036
O3 0.5036 0.9964 0.9964
O4 0.9964 0.5036 0.5036
O5 0.9964 0.5036 0.9964
O6 0.9964 0.9964 0.5036
```

Summary:
Symmetry: F-43m
Calculated density (g cm⁻³): 6.136

***

What did we get for formation energy from raw total energies? Answer: -41.79, -275.62 kJ per mole of atoms, in the order shown.
What did we get for calculated volume? Answer: 30.852, 12.847 Å³/atom, in the order shown.